# 1
DFT (PBE-GGA) results for Ca2MgAs2 after structural relaxation.

POSCAR file:
```
Ca2MgAs2
1.0
-0.3971 -7.3392 -2.2780
3.2737 1.9021 -6.6989
3.7348 -0.7063 1.6246
Ca As Mg
4 4 2
Direct
0.6463 0.8537 0.5000
0.3537 0.1463 0.5000
0.8537 0.3537 0.5000
0.1463 0.6463 0.5000
0.1645 0.3355 0.0000
0.3355 0.8355 0.0000
0.8355 0.6645 0.0000
0.6645 0.1645 0.0000
0.5000 0.5000 0.0000
0.0000 0.0000 0.0000
```

Computed properties:
* calculated formation energy: -0.8477 eV per atom
* mass density: 3.5 g/cm3
* space group: P4/mbm (127)
* total energy: -19.14 eV/f.u.


# 2
DFT (PBE-GGA) results for Pm5Sc2Tl after structural relaxation.

POSCAR file:
```
Pm5Sc2Tl
1.0
3.3504 0.0000 -0.6656
-0.9351 10.0061 -4.7068
-0.0863 -2.2432 8.3305
Pm Sc Tl
5 2 1
Direct
0.6326 0.8659 0.2652
0.3674 0.6007 0.7348
0.6326 0.3993 0.2652
0.0000 0.5000 0.0000
0.3674 0.1341 0.7348
0.2699 0.7699 0.5398
0.7301 0.2301 0.4602
0.0000 0.0000 0.0000
```

Computed properties:
* calculated formation energy: 0.0164 eV per atom
* mass density: 7.0 g/cm3
* space group: Immm (71)
* total energy: -38.65 eV/f.u.


# 3
DFT (PBE-GGA) results for ZrFe3Os after structural relaxation.

POSCAR file:
```
ZrFe3Os
1.0
-1.2393 0.1066 -4.2752
-4.2723 -0.2299 1.2327
-0.1912 4.4453 0.1663
Zr Fe Os
1 3 1
Direct
0.5000 0.5000 0.5000
0.5000 0.0000 0.0000
0.0000 0.5000 0.0000
0.0000 0.0000 0.5000
0.0000 0.0000 0.0000
```

Computed properties:
* calculated formation energy: 1.0429 eV per atom
* mass density: 8.4 g/cm3
* space group: Pm-3m (221)
* energy relative to the lowest polymorph listed for this composition: 0.0000 eV per atom
* total energy: -39.95 eV/f.u.


# 4
DFT (PBE-GGA) results for ErAlFe2H8 after structural relaxation.

POSCAR file:
```
ErAlFe2H8
1.0
4.3533 0.0000 0.0000
-2.1766 3.7701 0.0000
0.0000 0.0000 6.3105
H Al Fe Er
8 1 2 1
Direct
0.7107 0.8554 0.7789
0.3333 0.6667 0.6004
0.1446 0.8554 0.7789
0.1446 0.2893 0.7789
0.8554 0.7107 0.2211
0.8554 0.1446 0.2211
0.6667 0.3333 0.3996
0.2893 0.1446 0.2211
0.0000 0.0000 0.0000
0.6667 0.3333 0.1494
0.3333 0.6667 0.8506
0.0000 0.0000 0.5000
```

Computed properties:
* mass density: 5.0 g/cm3
* space group: P-3m1 (164)
* total energy: -51.24 eV/f.u.


# 5
DFT (PBE-GGA) results for Pa4C3O after structural relaxation.

POSCAR file:
```
Pa4C3O
1.0
3.5923 -0.0448 0.0609
0.0444 5.9160 1.7315
-0.1000 0.3475 6.1537
C Pa O
3 4 1
Direct
0.5000 0.0001 0.5000
0.0000 0.0001 0.0000
0.9999 0.5001 0.5000
0.0000 0.7527 0.7474
0.5000 0.7503 0.2502
0.4999 0.2499 0.7498
0.0000 0.2476 0.2525
0.5000 0.5002 0.9999
```

Computed properties:
* mass density: 12.6 g/cm3
* space group: Cmmm (65)
* energy relative to the elements, uncorrected: -1.0723 eV/atom
* energy relative to the lowest polymorph listed for this composition: 0.0000 eV per atom
* total energy: -79.19 eV/f.u.


# 6
DFT (PBE-GGA) results for K2Tl after structural relaxation.

POSCAR file:
```
K2Tl
1.0
3.2060 -5.5530 0.0000
3.2060 5.5530 0.0000
0.0000 0.0000 3.6275
K Tl
2 1
Direct
0.6667 0.3333 0.0000
0.3333 0.6667 0.0000
0.0000 0.0000 0.5000
```

Computed properties:
* calculated formation energy: 0.0339 eV per atom
* mass density: 3.6 g/cm3
* space group: P6/mmm (191)
* energy relative to the lowest polymorph listed for this composition: 0.0978 eV per atom
* total energy: -4.46 eV/f.u.


# 7
DFT (PBE-GGA) results for MgIn2Pd3 after structural relaxation.

POSCAR file:
```
MgIn2Pd3
1.0
-4.0507 2.1927 0.2546
-4.6285 -3.1548 -4.6779
-1.9289 -4.1066 4.6780
In Pd Mg
4 6 2
Direct
0.3326 0.3347 0.5000
0.6674 0.6653 0.5000
0.0000 0.0000 0.5000
0.0000 0.0000 0.0000
0.1684 0.6632 0.2452
0.1684 0.6632 0.7548
0.5000 0.0000 0.7492
0.5000 0.0000 0.2508
0.8316 0.3368 0.2452
0.8316 0.3368 0.7548
0.6669 0.6662 0.0000
0.3331 0.3338 0.0000
```

Computed properties:
* calculated formation energy: -0.5987 eV per atom
* mass density: 9.1 g/cm3
* space group: Cmmm (65)
* energy relative to the lowest polymorph listed for this composition: 0.0000 eV per atom
* total energy: -26.24 eV/f.u.


# 8
DFT (PBE-GGA) results for HfVAg after structural relaxation.

POSCAR file:
```
HfVAg
1.0
-3.5569 -1.5944 -1.4617
0.0621 -5.1572 5.4745
-3.6097 4.3008 4.0925
V Ag Hf
4 4 4
Direct
0.7500 0.4497 0.2969
0.7500 0.0503 0.7969
0.2500 0.9497 0.7969
0.2500 0.5503 0.2969
0.7500 0.3861 0.9130
0.2500 0.8861 0.4130
0.2500 0.6139 0.9130
0.7500 0.1139 0.4130
0.2500 0.1854 0.1172
0.7500 0.6854 0.6172
0.2500 0.3146 0.6172
0.7500 0.8146 0.1172
```

Computed properties:
* calculated formation energy: 0.2215 eV per atom
* mass density: 10.3 g/cm3
* space group: Ima2 (46)
* energy relative to the lowest polymorph listed for this composition: 0.0659 eV per atom
* total energy: -21.26 eV/f.u.


# 9
DFT (PBE-GGA) results for Sr2Tl2Pd after structural relaxation.

POSCAR file:
```
Sr2Tl2Pd
1.0
4.3337 0.0000 0.0000
2.1668 6.0688 -0.6212
2.1668 -0.1643 11.6609
Sr Tl Pd
4 4 2
Direct
0.6609 0.3425 0.3358
0.9335 0.2561 0.8768
0.3391 0.6575 0.6642
0.0665 0.7439 0.1232
0.6470 0.8178 0.8883
0.8822 0.7931 0.4426
0.1178 0.2069 0.5574
0.3530 0.1822 0.1117
0.6299 0.0552 0.6850
0.3701 0.9448 0.3150
```

Computed properties:
* calculated formation energy: -0.4675 eV per atom
* mass density: 7.5 g/cm3
* space group: C2/m (12)
* energy relative to the lowest polymorph listed for this composition: 0.0000 eV per atom
* total energy: -15.63 eV/f.u.


# 10
DFT (PBE-GGA) results for TiHgF2 after structural relaxation.

POSCAR file:
```
TiHgF2
1.0
1.6653 0.0000 9.2637
-0.8327 1.4422 9.2637
-0.8327 -1.4422 9.2637
Hg F Ti
1 2 1
Direct
0.0000 0.0000 0.0000
0.8824 0.8824 0.8824
0.1176 0.1176 0.1176
0.5000 0.5000 0.5000
```

Computed properties:
* mass density: 7.1 g/cm3
* space group: R-3m (166)
* energy relative to the elements, uncorrected: -1.9482 eV/atom
* energy relative to the lowest polymorph listed for this composition: 0.0000 eV per atom
* total energy: -19.73 eV/f.u.


# 11
DFT (PBE-GGA) results for LiZrAl2 after structural relaxation.

POSCAR file:
```
LiZrAl2
1.0
-0.7504 1.4149 3.6392
1.9779 -3.0575 1.5965
8.9329 4.3967 2.3045
Li Zr Al
2 2 4
Direct
0.2500 0.7500 0.5000
0.5000 0.5000 0.0000
0.7500 0.2500 0.5000
0.0000 0.0000 0.0000
0.6230 0.1250 0.2500
0.3750 0.3770 0.7500
0.8750 0.8730 0.7500
0.1270 0.6250 0.2500
```

Computed properties:
* calculated formation energy: 0.2590 eV per atom
* mass density: 3.3 g/cm3
* space group: I-42d (122)
* total energy: -16.91 eV/f.u.


# 12
DFT (PBE-GGA) results for Pm3Er2Co2 after structural relaxation.

POSCAR file:
```
Pm3Er2Co2
1.0
-3.6217 -0.3240 0.9055
0.4231 -0.5322 -6.2604
3.2180 -7.5073 2.4303
Er Pm Co
2 3 2
Direct
0.3658 0.5409 0.1902
0.6342 0.4591 0.8098
0.8108 0.1952 0.4255
0.5000 0.0000 0.0000
0.1892 0.8048 0.5745
0.0586 0.8743 0.2421
0.9414 0.1257 0.7579
```

Computed properties:
* calculated formation energy: -0.1106 eV per atom
* mass density: 8.2 g/cm3
* space group: C2/m (12)
* total energy: -38.36 eV/f.u.